Material: RbMnPdCl2
Method: DFT, GGA-PBEsol
State: optimized geometry

abc: 4.841 4.841 4.955
angles: 90.00 90.00 90.00
Sites, in units of the cell vectors:
Rb1 0.000 0.000 0.000
Mn1 0.500 0.500 0.500
Pd1 0.500 0.500 0.000
Cl1 0.000 0.500 0.500
Cl2 0.500 0.000 0.500

Properties
- symmetry = P4/mmm, No. 123
- D(E_F) (states/eV/f.u.) = 2.0
- ΔE_f (raw) (eV per atom) = -0.479